No. 1
A geometry-optimized NaPb structure, computed with PBE.

The structure belongs to space group P6_3/mmc (No. 194); the cell edges are 5.4728, 5.4728 and 6.1177 Å and the angles 90.00°, 90.00° and 120.00°. The distinct sites, in fractional coordinates, are Na at (0.3333, 0.6667, 0.2500) and Pb at (0.3333, 0.6667, 0.7500).

The total moment comes out at 0.000 μB per cell. The density of states at the Fermi level comes out at 0.9930 states/eV per atom. The final energy comes out at -8.56 eV/cell. For the calculated volume, the calculation gives 79.3 Å³/f.u. The mass density comes out at 4.8 g/cm3.

***

No. 2
A geometry-optimized Na2Pb7 structure, computed with PBE.

The structure belongs to space group P-31m (No. 162); the cell edges are 6.1082, 6.1082 and 8.5602 Å and the angles 90.00°, 90.00° and 120.00°. The distinct sites, in fractional coordinates, are Na at (0.3333, 0.6667, 0.0000), Pb at (0.0000, 0.0000, 0.0000) and Pb at (0.0000, 0.3256, 0.6683).

The total moment comes out at 0.000 μB per cell. The density of states at the Fermi level comes out at 0.4281 states/eV per atom. The final energy comes out at -29.22 eV/cell. For the calculated volume, the calculation gives 276.6 Å³/f.u. The polymorph energy (0 for the lowest one) is 0.0 kJ per mole of atoms. The mass density comes out at 9.0 g/cm3.

***

> Among the records above, which one has the lowest final energy?

Na2Pb7